Entry from Alexandria via LeMat-Bulk: an optimized crystal structure of Mg3Sc3Cd (PBE-GGA).

Values from the calculation:
calculated total energy	-24.3	eV/f.u.
space group	P2_13
spin magnetization	0.00	μB/f.u.
energy relative to the elements	4.9	kJ per mole of atoms
Fermi-level density of states	0.956	states/eV/atom

Structure (CIF):
```
data_Mg3Sc3Cd
_symmetry_space_group_name_H-M 'P 1'
_symmetry_Int_Tables_number 1
_cell_length_a 8.745
_cell_length_b 8.745
_cell_length_c 8.745
_cell_angle_alpha 90.00
_cell_angle_beta 90.00
_cell_angle_gamma 90.00
loop_
_symmetry_equiv_pos_as_xyz
'x,y,z'
loop_
_atom_site_label
_atom_site_type_symbol
_atom_site_fract_x
_atom_site_fract_y
_atom_site_fract_z
Sc1 Sc 0.523 0.023 0.477
Sc2 Sc 0.856 0.356 0.144
Sc3 Sc 0.144 0.856 0.356
Mg1 Mg 0.187 0.144 0.549
Mg2 Mg 0.451 0.687 0.356
Cd1 Cd 0.369 0.369 0.369
Cd2 Cd 0.131 0.631 0.869
Mg3 Mg 0.644 0.951 0.813
Cd3 Cd 0.631 0.869 0.131
Sc4 Sc 0.644 0.644 0.644
Mg4 Mg 0.813 0.644 0.951
Mg5 Mg 0.951 0.813 0.644
Sc5 Sc 0.023 0.477 0.523
Sc6 Sc 0.677 0.323 0.823
Cd4 Cd 0.869 0.131 0.631
Mg6 Mg 0.049 0.313 0.856
Sc7 Sc 0.477 0.523 0.023
Mg7 Mg 0.549 0.187 0.144
Sc8 Sc 0.356 0.144 0.856
Mg8 Mg 0.313 0.856 0.049
Sc9 Sc 0.977 0.977 0.977
Mg9 Mg 0.144 0.549 0.187
Sc10 Sc 0.823 0.677 0.323
Mg10 Mg 0.856 0.049 0.313
Mg11 Mg 0.356 0.451 0.687
Mg12 Mg 0.687 0.356 0.451
Sc11 Sc 0.177 0.177 0.177
Sc12 Sc 0.323 0.823 0.677
```

Entry from Alexandria via LeMat-Bulk: an optimized crystal structure of Mg5ScCd4 (PBE-GGA).

Values from the calculation:
calculated total energy	-19.3	eV/f.u.
space group	C2/m
spin magnetization	0.00	μB/f.u.
energy relative to the lowest polymorph listed for this composition	0	meV/atom
energy relative to the elements	-13.1	kJ per mole of atoms
Fermi-level density of states	0.490	states/eV/atom

Structure (CIF):
```
data_Mg5ScCd4
_symmetry_space_group_name_H-M 'P 1'
_symmetry_Int_Tables_number 1
_cell_length_a 4.924
_cell_length_b 6.344
_cell_length_c 7.614
_cell_angle_alpha 103.51
_cell_angle_beta 108.86
_cell_angle_gamma 90.00
loop_
_symmetry_equiv_pos_as_xyz
'x,y,z'
loop_
_atom_site_label
_atom_site_type_symbol
_atom_site_fract_x
_atom_site_fract_y
_atom_site_fract_z
Cd1 Cd 0.294 0.669 0.588
Mg1 Mg 0.294 0.165 0.588
Cd2 Cd 0.096 0.832 0.193
Cd3 Cd 0.904 0.168 0.807
Sc1 Sc 0.500 0.000 0.000
Mg2 Mg 0.706 0.835 0.412
Mg3 Mg 0.500 0.500 0.000
Mg4 Mg 0.103 0.336 0.206
Mg5 Mg 0.897 0.664 0.794
Cd4 Cd 0.706 0.331 0.412
```

Entry from Alexandria via LeMat-Bulk: an optimized crystal structure of MgSc3Cd (PBE-GGA).

Values from the calculation:
calculated total energy	-18.9	eV/f.u.
space group	Pm-3m
spin magnetization	0.00	μB/f.u.
energy relative to the lowest polymorph listed for this composition	654	meV/atom
energy relative to the elements	50.6	kJ per mole of atoms
Fermi-level density of states	2.025	states/eV/atom

Structure (CIF):
```
data_MgSc3Cd
_symmetry_space_group_name_H-M 'P 1'
_symmetry_Int_Tables_number 1
_cell_length_a 5.331
_cell_length_b 5.331
_cell_length_c 5.331
_cell_angle_alpha 90.00
_cell_angle_beta 90.00
_cell_angle_gamma 90.00
loop_
_symmetry_equiv_pos_as_xyz
'x,y,z'
loop_
_atom_site_label
_atom_site_type_symbol
_atom_site_fract_x
_atom_site_fract_y
_atom_site_fract_z
Sc1 Sc 0.500 0.000 0.000
Mg1 Mg 0.500 0.500 0.500
Sc2 Sc 0.000 0.500 0.000
Sc3 Sc 0.000 0.000 0.500
Cd1 Cd 0.000 0.000 0.000
```

Entry from Alexandria via LeMat-Bulk: an optimized crystal structure of Mg2Sc4Cd5 (PBE-GGA).

Values from the calculation:
calculated total energy	-33.5	eV/f.u.
space group	C2/m
spin magnetization	1.22	μB/f.u.
energy relative to the elements	-3.8	kJ per mole of atoms
Fermi-level density of states	0.908	states/eV/atom

Structure (CIF):
```
data_Mg2Sc4Cd5
_symmetry_space_group_name_H-M 'P 1'
_symmetry_Int_Tables_number 1
_cell_length_a 3.206
_cell_length_b 7.854
_cell_length_c 10.253
_cell_angle_alpha 86.06
_cell_angle_beta 99.00
_cell_angle_gamma 90.00
loop_
_symmetry_equiv_pos_as_xyz
'x,y,z'
loop_
_atom_site_label
_atom_site_type_symbol
_atom_site_fract_x
_atom_site_fract_y
_atom_site_fract_z
Cd1 Cd 0.818 0.462 0.636
Sc1 Sc 0.240 0.177 0.481
Sc2 Sc 0.760 0.823 0.519
Cd2 Cd 0.500 0.000 0.000
Cd3 Cd 0.134 0.914 0.267
Sc3 Sc 0.073 0.275 0.146
Mg1 Mg 0.558 0.633 0.115
Mg2 Mg 0.442 0.367 0.885
Cd4 Cd 0.182 0.538 0.364
Cd5 Cd 0.866 0.086 0.733
Sc4 Sc 0.927 0.725 0.854
```

Entry from Alexandria via LeMat-Bulk: an optimized crystal structure of Mg3Sc4Cd (PBE-GGA).

Values from the calculation:
calculated total energy	-31.9	eV/f.u.
space group	P4/mmm
spin magnetization	0.00	μB/f.u.
energy relative to the elements	-10.1	kJ per mole of atoms
Fermi-level density of states	1.250	states/eV/atom

Structure (CIF):
```
data_Mg3Sc4Cd
_symmetry_space_group_name_H-M 'P 1'
_symmetry_Int_Tables_number 1
_cell_length_a 3.591
_cell_length_b 3.591
_cell_length_c 14.215
_cell_angle_alpha 90.00
_cell_angle_beta 90.00
_cell_angle_gamma 90.00
loop_
_symmetry_equiv_pos_as_xyz
'x,y,z'
loop_
_atom_site_label
_atom_site_type_symbol
_atom_site_fract_x
_atom_site_fract_y
_atom_site_fract_z
Sc1 Sc 0.000 0.000 0.373
Mg1 Mg 0.500 0.500 0.500
Mg2 Mg 0.500 0.500 0.751
Mg3 Mg 0.500 0.500 0.249
Sc2 Sc 0.000 0.000 0.123
Sc3 Sc 0.000 0.000 0.877
Cd1 Cd 0.500 0.500 0.000
Sc4 Sc 0.000 0.000 0.627
```

Entry from Alexandria via LeMat-Bulk: an optimized crystal structure of MgSc3Cd (PBE-GGA).

Values from the calculation:
calculated total energy	-22.2	eV/f.u.
space group	Cmcm
spin magnetization	0.41	μB/f.u.
energy relative to the lowest polymorph listed for this composition	0	meV/atom
energy relative to the elements	-12.5	kJ per mole of atoms
Fermi-level density of states	1.233	states/eV/atom

Structure (CIF):
```
data_MgSc3Cd
_symmetry_space_group_name_H-M 'P 1'
_symmetry_Int_Tables_number 1
_cell_length_a 4.589
_cell_length_b 4.593
_cell_length_c 11.158
_cell_angle_alpha 90.00
_cell_angle_beta 78.13
_cell_angle_gamma 90.00
loop_
_symmetry_equiv_pos_as_xyz
'x,y,z'
loop_
_atom_site_label
_atom_site_type_symbol
_atom_site_fract_x
_atom_site_fract_y
_atom_site_fract_z
Sc1 Sc 0.273 0.750 0.102
Sc2 Sc 0.878 0.750 0.893
Sc3 Sc 0.375 0.250 0.898
Sc4 Sc 0.574 0.250 0.501
Mg1 Mg 0.173 0.250 0.303
Mg2 Mg 0.476 0.750 0.697
Sc5 Sc 0.075 0.750 0.499
Cd1 Cd 0.977 0.250 0.694
Cd2 Cd 0.671 0.750 0.306
Sc6 Sc 0.771 0.250 0.107
```

Entry from Alexandria via LeMat-Bulk: an optimized crystal structure of Mg5ScCd4 (PBE-GGA).

Values from the calculation:
calculated total energy	-18.8	eV/f.u.
space group	P4/mmm
spin magnetization	0.36	μB/f.u.
energy relative to the lowest polymorph listed for this composition	53	meV/atom
energy relative to the elements	-8.0	kJ per mole of atoms
Fermi-level density of states	0.487	states/eV/atom

Structure (CIF):
```
data_Mg5ScCd4
_symmetry_space_group_name_H-M 'P 1'
_symmetry_Int_Tables_number 1
_cell_length_a 3.549
_cell_length_b 3.549
_cell_length_c 17.396
_cell_angle_alpha 90.00
_cell_angle_beta 90.00
_cell_angle_gamma 90.00
loop_
_symmetry_equiv_pos_as_xyz
'x,y,z'
loop_
_atom_site_label
_atom_site_type_symbol
_atom_site_fract_x
_atom_site_fract_y
_atom_site_fract_z
Cd1 Cd 0.000 0.000 0.403
Mg1 Mg 0.500 0.500 0.890
Mg2 Mg 0.500 0.500 0.694
Cd2 Cd 0.000 0.000 0.597
Mg3 Mg 0.500 0.500 0.306
Cd3 Cd 0.000 0.000 0.794
Mg4 Mg 0.500 0.500 0.500
Sc1 Sc 0.000 0.000 0.000
Cd4 Cd 0.000 0.000 0.206
Mg5 Mg 0.500 0.500 0.110
```

Entry from Alexandria via LeMat-Bulk: an optimized crystal structure of Mg5Sc5Cd2 (PBE-GGA).

Values from the calculation:
calculated total energy	-41.8	eV/f.u.
space group	C2/m
spin magnetization	0.00	μB/f.u.
energy relative to the elements	-2.6	kJ per mole of atoms
Fermi-level density of states	0.994	states/eV/atom

Structure (CIF):
```
data_Mg5Sc5Cd2
_symmetry_space_group_name_H-M 'P 1'
_symmetry_Int_Tables_number 1
_cell_length_a 4.995
_cell_length_b 4.995
_cell_length_c 13.452
_cell_angle_alpha 79.42
_cell_angle_beta 79.42
_cell_angle_gamma 60.01
loop_
_symmetry_equiv_pos_as_xyz
'x,y,z'
loop_
_atom_site_label
_atom_site_type_symbol
_atom_site_fract_x
_atom_site_fract_y
_atom_site_fract_z
Cd1 Cd 0.928 0.928 0.217
Sc1 Sc 0.000 0.000 0.000
Mg1 Mg 0.309 0.309 0.076
Sc2 Sc 0.855 0.855 0.434
Cd2 Cd 0.072 0.072 0.783
Mg2 Mg 0.773 0.773 0.678
Sc3 Sc 0.145 0.145 0.566
Mg3 Mg 0.227 0.227 0.322
Sc4 Sc 0.394 0.394 0.818
Sc5 Sc 0.606 0.606 0.182
Mg4 Mg 0.500 0.500 0.500
Mg5 Mg 0.691 0.691 0.924
```

Q: Look up the spin magnetization of the first one.
A: 0.00 μB/f.u.

Copy entry 1 word for word.
Entry from Alexandria via LeMat-Bulk: an optimized crystal structure of Mg3Sc3Cd (PBE-GGA).

Values from the calculation:
calculated total energy	-24.3	eV/f.u.
space group	P2_13
spin magnetization	0.00	μB/f.u.
energy relative to the elements	4.9	kJ per mole of atoms
Fermi-level density of states	0.956	states/eV/atom

Structure (CIF):
```
data_Mg3Sc3Cd
_symmetry_space_group_name_H-M 'P 1'
_symmetry_Int_Tables_number 1
_cell_length_a 8.745
_cell_length_b 8.745
_cell_length_c 8.745
_cell_angle_alpha 90.00
_cell_angle_beta 90.00
_cell_angle_gamma 90.00
loop_
_symmetry_equiv_pos_as_xyz
'x,y,z'
loop_
_atom_site_label
_atom_site_type_symbol
_atom_site_fract_x
_atom_site_fract_y
_atom_site_fract_z
Sc1 Sc 0.523 0.023 0.477
Sc2 Sc 0.856 0.356 0.144
Sc3 Sc 0.144 0.856 0.356
Mg1 Mg 0.187 0.144 0.549
Mg2 Mg 0.451 0.687 0.356
Cd1 Cd 0.369 0.369 0.369
Cd2 Cd 0.131 0.631 0.869
Mg3 Mg 0.644 0.951 0.813
Cd3 Cd 0.631 0.869 0.131
Sc4 Sc 0.644 0.644 0.644
Mg4 Mg 0.813 0.644 0.951
Mg5 Mg 0.951 0.813 0.644
Sc5 Sc 0.023 0.477 0.523
Sc6 Sc 0.677 0.323 0.823
Cd4 Cd 0.869 0.131 0.631
Mg6 Mg 0.049 0.313 0.856
Sc7 Sc 0.477 0.523 0.023
Mg7 Mg 0.549 0.187 0.144
Sc8 Sc 0.356 0.144 0.856
Mg8 Mg 0.313 0.856 0.049
Sc9 Sc 0.977 0.977 0.977
Mg9 Mg 0.144 0.549 0.187
Sc10 Sc 0.823 0.677 0.323
Mg10 Mg 0.856 0.049 0.313
Mg11 Mg 0.356 0.451 0.687
Mg12 Mg 0.687 0.356 0.451
Sc11 Sc 0.177 0.177 0.177
Sc12 Sc 0.323 0.823 0.677
```

Repeat the seventh record exactly.
Entry from Alexandria via LeMat-Bulk: an optimized crystal structure of Mg5ScCd4 (PBE-GGA).

Values from the calculation:
calculated total energy	-18.8	eV/f.u.
space group	P4/mmm
spin magnetization	0.36	μB/f.u.
energy relative to the lowest polymorph listed for this composition	53	meV/atom
energy relative to the elements	-8.0	kJ per mole of atoms
Fermi-level density of states	0.487	states/eV/atom

Structure (CIF):
```
data_Mg5ScCd4
_symmetry_space_group_name_H-M 'P 1'
_symmetry_Int_Tables_number 1
_cell_length_a 3.549
_cell_length_b 3.549
_cell_length_c 17.396
_cell_angle_alpha 90.00
_cell_angle_beta 90.00
_cell_angle_gamma 90.00
loop_
_symmetry_equiv_pos_as_xyz
'x,y,z'
loop_
_atom_site_label
_atom_site_type_symbol
_atom_site_fract_x
_atom_site_fract_y
_atom_site_fract_z
Cd1 Cd 0.000 0.000 0.403
Mg1 Mg 0.500 0.500 0.890
Mg2 Mg 0.500 0.500 0.694
Cd2 Cd 0.000 0.000 0.597
Mg3 Mg 0.500 0.500 0.306
Cd3 Cd 0.000 0.000 0.794
Mg4 Mg 0.500 0.500 0.500
Sc1 Sc 0.000 0.000 0.000
Cd4 Cd 0.000 0.000 0.206
Mg5 Mg 0.500 0.500 0.110
```